Material: Li2FeBO4
Method: DFT, PBEsol
State: relaxed

Lattice parameters (Å, degrees): 6.9014 7.1448 6.0735 90.00 90.00 90.00
With the nearest neighbours (Å) after each atom.
Space group C222_1 (No. 20)
One atom of each set of equivalent atoms:
Li (0.0000, 0.1929, 0.2500) (multiplicity 4)  4 O 1.89-2.00
Li (0.1760, 0.5000, 0.5000) (multiplicity 4)  4 O 1.97-2.00
Fe (0.0000, 0.1831, 0.7500) (multiplicity 4)  4 O 1.85-1.89
B (0.1806, 0.5000, 0.0000) (multiplicity 4)  4 O 1.48-1.49
O (0.0515, 0.3325, 0.9928) (multiplicity 8)  1 B 1.49
O (0.1997, 0.0062, 0.7023) (multiplicity 8)  1 B 1.48

- total moment (μB/f.u.) = 5.0
- energy relative to the elements, uncorrected (eV/atom) = -1.9576
- crystal system = orthorhombic

=====

Material: LiFeB2Sb
Method: DFT, PBEsol
State: relaxed

Lattice parameters (Å, degrees): 4.5124 4.5124 4.7612 90.00 90.00 90.00
With the nearest neighbours (Å) after each atom.
Space group P4/mmm (No. 123)
One atom of each set of equivalent atoms:
Li (0.0000, 0.0000, 0.0000) (multiplicity 1)  4 Fe 3.19, 8 B 3.28
Fe (0.5000, 0.5000, 0.0000) (multiplicity 1)  2 Sb 2.38
B (0.0000, 0.5000, 0.5000) (multiplicity 2)  2 Sb 2.26
Sb (0.5000, 0.5000, 0.5000) (multiplicity 1)  4 B 2.26, 2 Fe 2.38

- total moment (μB/f.u.) = 2.5
- energy relative to the elements, uncorrected (eV/atom) = 1.8281
- crystal system = tetragonal

=====

Material: LiTi2FeB
Method: DFT, PBEsol
State: relaxed

Lattice parameters (Å, degrees): 4.3773 4.3773 3.8674 90.00 90.00 90.00
With the nearest neighbours (Å) after each atom.
Space group P4/mmm (No. 123)
One atom of each set of equivalent atoms:
Li (0.0000, 0.0000, 0.0000) (multiplicity 1)  8 Ti 2.92, 4 B 3.10
Ti (0.0000, 0.5000, 0.5000) (multiplicity 2)  2 Fe 2.19
Fe (0.5000, 0.5000, 0.5000) (multiplicity 1)  2 B 1.93
B (0.5000, 0.5000, 0.0000) (multiplicity 1)  2 Fe 1.93

- total moment (μB/f.u.) = 0.0
- DFT formation energy (meV/atom) = 420
- crystal system = tetragonal

=====

Material: LuFe4B
Method: DFT, PBEsol
State: relaxed

Lattice parameters (Å, degrees): 4.8895 4.8895 6.9202 90.00 90.00 120.00
With the nearest neighbours (Å) after each atom.
Space group P6/mmm (No. 191)
One atom of each set of equivalent atoms:
Lu (0.0000, 0.0000, 0.0000) (multiplicity 1)  6 B 2.82, 12 Fe 2.87
Lu (0.0000, 0.0000, 0.5000) (multiplicity 1)  18 Fe 2.82-3.14
Fe (0.0000, 0.5000, 0.2161) (multiplicity 6)  2 B 2.06
Fe (0.3333, 0.6667, 0.5000) (multiplicity 2)  6 Fe 2.42
B (0.3333, 0.6667, 0.0000) (multiplicity 2)  6 Fe 2.06

- total moment (μB/f.u.) = 6.8
- DFT formation energy (meV/atom) = -276
- crystal system = hexagonal

=====

Material: Lu2FeB6
Method: DFT, PBEsol
State: relaxed

Lattice parameters (Å, degrees): 8.9050 11.2442 3.4216 90.00 90.00 90.00
With the nearest neighbours (Å) after each atom.
Space group Pbam (No. 55)
One atom of each set of equivalent atoms:
Lu (0.0572, 0.1295, 0.0000) (multiplicity 4)  12 B 2.48-2.51, 2 Fe 2.76-2.77
Lu (0.1769, 0.4146, 0.0000) (multiplicity 4)  14 B 2.61-2.68
Fe (0.1385, 0.6797, 0.0000) (multiplicity 4)  10 B 2.22-2.29
B (0.0157, 0.2883, 0.5000) (multiplicity 4)  3 B 1.74-1.83
B (0.0540, 0.5673, 0.5000) (multiplicity 4)  3 B 1.73-1.79
B (0.1062, 0.9710, 0.5000) (multiplicity 4)  2 B 1.77-1.80
B (0.1315, 0.8149, 0.5000) (multiplicity 4)  3 B 1.68-1.77
B (0.2095, 0.2345, 0.5000) (multiplicity 4)  3 B 1.68-1.83
B (0.2473, 0.5812, 0.5000) (multiplicity 4)  3 B 1.73-1.80

- total moment (μB/f.u.) = 0.0
- DFT formation energy (meV/atom) = -768
- crystal system = orthorhombic

=====

Material: LuFe2B2
Method: DFT, PBEsol
State: relaxed

Lattice parameters (Å, degrees): 3.4282 3.4282 9.0717 90.00 90.00 90.00
With the nearest neighbours (Å) after each atom.
Space group I4/mmm (No. 139)
One atom of each set of equivalent atoms:
Lu (0.0000, 0.0000, 0.0000) (multiplicity 2)  8 B 2.64, 8 Fe 2.84
Fe (0.0000, 0.5000, 0.2500) (multiplicity 4)  4 B 2.11
B (0.0000, 0.0000, 0.3849) (multiplicity 4)  1 B 2.09, 4 Fe 2.11

- total moment (μB/f.u.) = 2.4
- DFT formation energy (meV/atom) = -538
- crystal system = tetragonal

=====

Material: LuFeB4
Method: DFT, PBEsol
State: relaxed

Lattice parameters (Å, degrees): 5.7968 11.2114 3.2651 90.00 90.00 90.00
With the nearest neighbours (Å) after each atom.
Space group Pbam (No. 55)
One atom of each set of equivalent atoms:
Lu (0.1276, 0.1502, 0.0000) (multiplicity 4)  14 B 2.51-2.64
Fe (0.1334, 0.4114, 0.0000) (multiplicity 4)  10 B 2.14-2.23
B (0.0239, 0.6918, 0.5000) (multiplicity 4)  3 B 1.71-1.79
B (0.1123, 0.5467, 0.5000) (multiplicity 4)  3 B 1.67-1.71
B (0.1374, 0.9683, 0.5000) (multiplicity 4)  3 B 1.70-1.77
B (0.2156, 0.8155, 0.5000) (multiplicity 4)  3 B 1.77-1.79

- total moment (μB/f.u.) = 0.0
- DFT formation energy (meV/atom) = -736
- crystal system = orthorhombic

=====

Material: MgFe2B
Method: DFT, PBEsol
State: relaxed

Lattice parameters (Å, degrees): 5.4478 5.4478 5.4478 90.00 90.00 90.00
With the nearest neighbours (Å) after each atom.
Space group Fm-3m (No. 225)
One atom of each set of equivalent atoms:
Mg (0.0000, 0.0000, 0.0000) (multiplicity 4)  8 Fe 2.36
Fe (0.2500, 0.2500, 0.2500) (multiplicity 8)  4 Mg 2.36, 4 B 2.36
B (0.0000, 0.0000, 0.5000) (multiplicity 4)  8 Fe 2.36

- total moment (μB/f.u.) = 2.4
- DFT formation energy (meV/atom) = 480
- crystal system = cubic

=====

Material: MgFeBO4
Method: DFT, PBEsol
State: relaxed

Lattice parameters (Å, degrees): 9.0378 2.9905 9.2327 90.00 90.00 90.00
With the nearest neighbours (Å) after each atom.
Space group Pnma (No. 62)
One atom of each set of equivalent atoms:
Mg (0.1069, 0.2500, 0.1730) (multiplicity 4)  6 O 1.97-2.17
Fe (0.1104, 0.2500, 0.5528) (multiplicity 4)  6 O 1.85-2.01
B (0.1727, 0.2500, 0.8628) (multiplicity 4)  3 O 1.33-1.42
O (0.0039, 0.2500, 0.3815) (multiplicity 4)  3 Fe 1.85-1.92
O (0.0259, 0.2500, 0.8767) (multiplicity 4)  1 B 1.33
O (0.2409, 0.7500, 0.4916) (multiplicity 4)  1 B 1.42
O (0.2416, 0.2500, 0.7288) (multiplicity 4)  1 B 1.38

- total moment (μB/f.u.) = 1.0
- energy relative to the elements, uncorrected (eV/atom) = -2.0967
- crystal system = orthorhombic